(1)
Here is an optimized crystal structure of LiZrIr2 from Alexandria. Energies are from PBE.

Structure (POSCAR):
```
LiZrIr2
1.0
-0.9525 -1.7482 -3.5354
-1.3989 -2.0484 1.3898
-5.1521 1.9115 0.4429
Zr Ir Li
1 2 1
direct
0.5000 0.7500 0.7500 Zr
0.0000 0.4241 0.4682 Ir
0.0000 0.0759 0.0318 Ir
0.5000 0.2500 0.2500 Li
```

calculated density = 13.01 g cm⁻³
DOS at the Fermi energy = 2.48 states/eV per cell
calculated total energy = -29.87 eV per cell
symmetry = No. 10

(2)
Here is an optimized crystal structure of Na2AlBiCl from Alexandria. Energies are from PBE.

Structure (POSCAR):
```
Na2AlBiCl
1.0
-0.4383 2.3413 5.5258
4.5102 -2.9965 1.6273
3.6024 4.5340 -1.6354
Bi Na Cl Al
1 2 1 1
direct
0.0000 0.0000 0.0000 Bi
0.0000 0.0000 0.5000 Na
0.5000 0.0000 0.0000 Na
0.0000 0.5000 0.0000 Cl
0.5000 0.5000 0.5000 Al
```

calculated density = 2.57 g cm⁻³
formation energy from raw total energies = 171.9 meV per atom
DOS at the Fermi energy = 4.27 states/eV per cell
symmetry = No. 123

(3)
Here is an optimized crystal structure of CdAgRh2 from Alexandria. Energies are from PBE.

Structure (POSCAR):
```
CdAgRh2
1.0
-2.0086 2.0086 4.0738
2.0086 -2.0086 4.0738
2.0086 2.0086 -4.0738
Rh Cd Ag
2 1 1
direct
0.7500 0.2500 0.5000 Rh
0.2500 0.7500 0.5000 Rh
0.0000 0.0000 0.0000 Cd
0.5000 0.5000 0.0000 Ag
```

calculated density = 10.76 g cm⁻³
DOS at the Fermi energy = 6.60 states/eV per cell
calculated total energy = -17.76 eV per cell
symmetry = No. 139

(4)
Here is an optimized crystal structure of HfCoPd from Alexandria. Energies are from PBE.

Structure (POSCAR):
```
HfCoPd
1.0
3.2614 0.0000 0.0000
0.0000 3.2614 0.0000
-1.6307 -1.6307 4.4459
Co Hf Pd
1 1 1
direct
0.2924 0.2924 0.5848 Co
0.9404 0.9404 0.8807 Hf
0.6173 0.6173 0.2345 Pd
```

calculated density = 12.07 g cm⁻³
DOS at the Fermi energy = 2.53 states/eV per cell
calculated total energy = -23.45 eV per cell
symmetry = No. 107